Record 1
Here is Cs3SrPr2Te6 after structural relaxation from Alexandria via LeMat-Bulk. Energies are from PBE-GGA.

Values from the calculation:
Its density of states at the Fermi level is 0.883 states/eV/atom. Its space group is C2/m (12). The value obtained for the formation energy from raw total energies is -15.94 eV/f.u. Its magnetic moment is 0.00 μB/f.u. The value obtained for the electronic total energy is -4.049 eV/atom.

a = 8.2224 Å, b = 8.2224 Å, c = 9.4121 Å
α = 98.38°, β = 98.38°, γ = 120.00°
Fractional coordinates of all 12 atoms:
Te1 0.9335 0.5873 0.8011
Te2 0.4127 0.0665 0.1989
Te3 0.2803 0.2803 0.8027
Te4 0.5873 0.9335 0.8011
Te5 0.0665 0.4127 0.1989
Te6 0.7197 0.7197 0.1973
Cs1 0.1630 0.8370 0.5000
Cs2 0.5000 0.5000 0.5000
Cs3 0.8370 0.1630 0.5000
Sr1 0.0000 0.0000 0.0000
Pr1 0.6670 0.3330 0.0000
Pr2 0.3330 0.6670 0.0000



Record 2
Here is Cs4TbPr3Te8 after structural relaxation from Alexandria via LeMat-Bulk. Energies are from PBE-GGA.

Values from the calculation:
Its space group is R-3m (166). The value obtained for the formation energy from raw total energies is -22.57 eV/f.u. Its magnetic moment is 0.00 μB/f.u. The value obtained for the electronic total energy is -4.380 eV/atom.

a = 9.3486 Å, b = 10.4536 Å, c = 9.3490 Å
α = 116.59°, β = 120.00°, γ = 90.00°
Fractional coordinates of all 16 atoms:
Pr1 0.5000 0.5000 0.5000
Pr2 0.5000 0.5000 0.0000
Pr3 0.0000 0.5000 0.5000
Te1 0.2613 0.3063 0.0337
Te2 0.7325 0.6972 0.4649
Te3 0.7387 0.6937 0.9663
Te4 0.2276 0.6937 0.9663
Te5 0.2675 0.3028 0.5351
Te6 0.2276 0.6938 0.4552
Te7 0.7724 0.3062 0.5448
Te8 0.7724 0.3063 0.0337
Cs1 0.0000 0.0000 0.5000
Cs2 0.0000 0.0000 0.0000
Cs3 0.5000 0.0000 0.0000
Cs4 0.5000 0.0000 0.5000
Tb1 0.0000 0.5000 0.0000



Record 3
Here is Cs4Tb3PrTe8 after structural relaxation from Alexandria via LeMat-Bulk. Energies are from PBE-GGA.

Values from the calculation:
Its space group is R-3m (166). The value obtained for the formation energy from raw total energies is -22.36 eV/f.u. Its magnetic moment is 0.00 μB/f.u. The value obtained for the electronic total energy is -4.349 eV/atom.

a = 9.2098 Å, b = 10.3988 Å, c = 9.2104 Å
α = 116.31°, β = 120.00°, γ = 90.00°
Fractional coordinates of all 16 atoms:
Cs1 0.5000 0.0000 0.5000
Cs2 0.0000 0.0000 0.5000
Cs3 0.0000 0.0000 0.0000
Cs4 0.5000 0.0000 0.0000
Te1 0.2765 0.3076 0.0419
Te2 0.7298 0.6893 0.4597
Te3 0.2346 0.6924 0.9581
Te4 0.2702 0.3107 0.5403
Te5 0.7655 0.3076 0.5309
Te6 0.7235 0.6924 0.9581
Te7 0.2345 0.6924 0.4691
Te8 0.7654 0.3076 0.0419
Tb1 0.5000 0.5000 0.5000
Tb2 0.0000 0.5000 0.5000
Tb3 0.5000 0.5000 0.0000
Pr1 0.0000 0.5000 0.0000